# 1
Compound: ZrHg2TeI
Source: Alexandria via LeMat-Bulk
Functional: GGA-PBE
Structure: relaxed

a b c (Å): 5.8107 5.6283 5.8107
angles (deg): 90.00 90.00 90.00
Site moments in Bohr magnetons follow the coordinates.
Positions (direct):
1 I 0.5000 0.5000 0.5000  -0.01
2 Te 0.0000 0.0000 0.0000  -0.04
3 Hg 0.0000 0.0000 0.5000  0.01
4 Hg 0.5000 0.0000 0.0000  0.03
5 Zr 0.0000 0.5000 0.0000  1.38

Results
E_form (uncorrected)   1.8 eV per formula unit
Volume   190 Å³ per cell
VASP energy   -2.42 eV per atom
DOS at the Fermi energy   2.973 states/eV per cell
Space group   P4/mmm

---

# 2
Compound: Sc2BiAu
Source: Alexandria via LeMat-Bulk
Functional: GGA-PBE
Structure: relaxed

a b c (Å): 3.9015 4.7939 4.7939
angles (deg): 90.00 90.00 90.00
Site moments in Bohr magnetons follow the coordinates.
Positions (direct):
1 Sc 0.0000 0.0000 0.5000  0.34
2 Sc 0.0000 0.5000 0.0000  0.34
3 Au 0.5000 0.0000 0.0000  0.02
4 Bi 0.5000 0.5000 0.5000  -0.02

Results
Energy of formation   -579 meV/atom
Volume   90 Å³ per cell
VASP energy   -5.53 eV per atom
DOS at the Fermi energy   3.000 states/eV per cell
Space group   P4/mmm

---

# 3
Compound: Ho4Co2Pd
Source: Alexandria via LeMat-Bulk
Functional: GGA-PBE
Structure: relaxed

a b c (Å): 7.3285 7.3258 7.3266
angles (deg): 109.01 109.02 110.39
Positions (direct):
1 Ho 0.9896 0.2443 0.3779
2 Ho 0.3824 0.5052 0.2451
3 Ho 0.8669 0.6123 0.6221
4 Ho 0.7564 0.1331 0.7448
5 Ho 0.3880 0.0106 0.2548
6 Ho 0.2613 0.1383 0.7556
7 Ho 0.4940 0.7391 0.8769
8 Ho 0.8617 0.6166 0.1223
9 Co 0.5027 0.3749 0.6274
10 Co 0.7468 0.8743 0.3717
11 Co 0.6254 0.2509 0.1262
12 Co 0.1251 0.5005 0.8752
13 Pd 0.2501 0.7504 0.4998
14 Pd 0.9995 0.9994 0.0002

Results
Energy of formation   -339 meV/atom
Volume   303 Å³ per cell
VASP energy   -5.73 eV per atom
DOS at the Fermi energy   4.962 states/eV per cell
Space group   C2

---

# 4
Compound: Cd2AgCl
Source: Alexandria via LeMat-Bulk
Functional: GGA-PBE
Structure: relaxed

a b c (Å): 5.8863 3.2169 4.8175
angles (deg): 90.84 90.00 90.00
Positions (direct):
1 Cl 0.5000 0.2500 0.2500
2 Ag 0.5000 0.7500 0.7500
3 Cd 0.0000 0.9981 0.0020
4 Cd 0.0000 0.5019 0.4980

Results
E_form (uncorrected)   -0.3 eV per formula unit
Volume   91 Å³ per cell
VASP energy   -1.70 eV per atom
DOS at the Fermi energy   0.855 states/eV per cell
Space group   P2/m

---

# 5
Compound: Zr2CdTe
Source: Alexandria via LeMat-Bulk
Functional: GGA-PBE
Structure: relaxed

a b c (Å): 3.5885 3.5926 7.8453
angles (deg): 62.74 90.00 90.00
Positions (direct):
1 Cd 0.5000 0.2500 0.2500
2 Te 0.5000 0.7500 0.7500
3 Zr 0.0000 0.0117 0.9883
4 Zr 0.0000 0.4883 0.5117

Results
E_form (uncorrected)   -1.3 eV per formula unit
Volume   90 Å³ per cell
VASP energy   -5.61 eV per atom
DOS at the Fermi energy   3.444 states/eV per cell
Space group   P4/mmm

---

# 6
Compound: KBa3Ga
Source: Alexandria via LeMat-Bulk
Functional: GGA-PBE
Structure: relaxed

a b c (Å): 6.8055 6.8055 6.8055
angles (deg): 90.00 90.00 90.00
Site moments in Bohr magnetons follow the coordinates.
Positions (direct):
1 K 0.0000 0.0000 0.0000  0.12
2 Ba 0.0000 0.5000 0.0000  0.25
3 Ba 0.0000 0.0000 0.5000  0.29
4 Ba 0.5000 0.0000 0.0000  0.17
5 Ga 0.5000 0.5000 0.5000  0.08

Results
Energy of formation   781 meV/atom
Volume   315 Å³ per cell
VASP energy   -1.20 eV per atom
DOS at the Fermi energy   10.339 states/eV per cell
Space group   Pm-3m

---

# 7
Compound: TaTeBr2
Source: Alexandria via LeMat-Bulk
Functional: GGA-PBE
Structure: relaxed

a b c (Å): 9.4352 9.4352 7.1973
angles (deg): 49.04 49.04 90.00
Site moments in Bohr magnetons follow the coordinates.
Positions (direct):
1 Te 0.5000 0.5000 0.0000  -0.09
2 Te 0.2500 0.7500 0.5000  -0.09
3 Br 0.7561 0.1250 0.2500  -0.01
4 Br 0.9939 0.6250 0.2500  -0.02
5 Br 0.3750 0.2439 0.7500  -0.01
6 Br 0.8750 0.0061 0.7500  -0.01
7 Ta 0.0000 0.0000 0.0000  0.84
8 Ta 0.7500 0.2500 0.5000  0.84

Results
E_form (uncorrected)   -0.6 eV per formula unit
Volume   240 Å³ per cell
VASP energy   -4.72 eV per atom
DOS at the Fermi energy   0.636 states/eV per cell
Space group   I-42d

---

# 8
Compound: BaAl2Pt
Source: Alexandria via LeMat-Bulk
Functional: GGA-PBE
Structure: relaxed

a b c (Å): 4.4278 4.4278 6.5914
angles (deg): 70.30 70.30 60.00
Positions (direct):
1 Ba 0.5037 0.5037 0.4886
2 Pt 0.3230 0.3230 0.0310
3 Al 0.9792 0.9792 0.0624
4 Al 0.6940 0.6940 0.9180

Results
Energy of formation   -708 meV/atom
Volume   103 Å³ per cell
VASP energy   -4.57 eV per atom
DOS at the Fermi energy   2.526 states/eV per cell
Space group   Cm

---

# 9
Compound: CaNi3Pt
Source: Alexandria via LeMat-Bulk
Functional: GGA-PBE
Structure: relaxed

a b c (Å): 4.3697 4.3697 4.3697
angles (deg): 90.00 90.00 90.00
Site moments in Bohr magnetons follow the coordinates.
Positions (direct):
1 Ni 0.0000 0.5000 0.0000  0.02
2 Ni 0.0000 0.0000 0.5000  0.03
3 Ni 0.5000 0.0000 0.0000  0.07
4 Ca 0.0000 0.0000 0.0000  -0.01
5 Pt 0.5000 0.5000 0.5000  0.04

Results
Energy of formation   1484 meV/atom
Volume   83 Å³ per cell
VASP energy   -3.59 eV per atom
DOS at the Fermi energy   4.874 states/eV per cell
Space group   Pm-3m

---

# 10
Compound: CeUN2
Source: Alexandria via LeMat-Bulk
Functional: GGA-PBE
Structure: relaxed

a b c (Å): 3.0048 3.0048 6.0469
angles (deg): 90.00 90.00 90.00
Site moments in Bohr magnetons follow the coordinates.
Positions (direct):
1 U 0.5000 0.5000 0.0000  1.96
2 Ce 0.5000 0.5000 0.5000  0.48
3 N 0.0000 0.0000 0.7645  -0.07
4 N 0.0000 0.0000 0.2355  -0.07

Results
E_form (uncorrected)   -3.0 eV per formula unit
Volume   55 Å³ per cell
VASP energy   -9.21 eV per atom
DOS at the Fermi energy   7.346 states/eV per cell
Space group   P4/mmm

---

# 11
Compound: AcPm4Tl
Source: Alexandria via LeMat-Bulk
Functional: GGA-PBE
Structure: relaxed

a b c (Å): 3.7853 3.7853 14.4823
angles (deg): 90.00 90.00 90.00
Positions (direct):
1 Ac 0.0000 0.0000 0.0000
2 Pm 0.5000 0.5000 0.1876
3 Pm 0.0000 0.0000 0.6416
4 Pm 0.0000 0.0000 0.3584
5 Pm 0.5000 0.5000 0.8124
6 Tl 0.5000 0.5000 0.5000

Results
Energy of formation   -96 meV/atom
Volume   208 Å³ per cell
VASP energy   -4.34 eV per atom
DOS at the Fermi energy   8.698 states/eV per cell
Space group   P4/mmm

---

# 12
Compound: Ga2BiRh
Source: Alexandria via LeMat-Bulk
Functional: GGA-PBE
Structure: relaxed

a b c (Å): 5.9487 5.9487 7.4099
angles (deg): 66.33 66.33 90.00
Positions (direct):
1 Rh 0.5000 0.5000 0.0000
2 Rh 0.2500 0.7500 0.5000
3 Bi 0.0000 0.0000 0.0000
4 Bi 0.7500 0.2500 0.5000
5 Ga 0.5628 0.1250 0.2500
6 Ga 0.1872 0.6250 0.2500
7 Ga 0.3750 0.4372 0.7500
8 Ga 0.8750 0.8128 0.7500

Results
Energy of formation   168 meV/atom
Volume   216 Å³ per cell
VASP energy   -4.15 eV per atom
DOS at the Fermi energy   0.806 states/eV per cell
Space group   I-42d

---

# 13
Compound: NpGe2Sb
Source: Alexandria via LeMat-Bulk
Functional: GGA-PBE
Structure: relaxed

a b c (Å): 4.7851 4.7851 5.3650
angles (deg): 63.52 63.52 60.00
Site moments in Bohr magnetons follow the coordinates.
Positions (direct):
1 Np 0.5000 0.5000 0.5000  -3.92
2 Sb 0.0000 0.0000 0.0000  0.02
3 Ge 0.7370 0.7370 0.7889  0.00
4 Ge 0.2630 0.2630 0.2111  0.00

Results
E_form (uncorrected)   0.7 eV per formula unit
Volume   91 Å³ per cell
VASP energy   -6.39 eV per atom
DOS at the Fermi energy   10.405 states/eV per cell
Space group   R-3m

---

# 14
Compound: Nd5CuTe4
Source: Alexandria via LeMat-Bulk
Functional: GGA-PBE
Structure: relaxed

a b c (Å): 6.3278 7.6891 7.6891
angles (deg): 80.25 65.70 65.70
Positions (direct):
1 Nd 0.9030 0.3789 0.8171
2 Nd 0.2819 0.8171 0.6211
3 Nd 0.7201 0.1829 0.3789
4 Nd 0.0990 0.6211 0.1829
5 Nd 0.5011 0.0000 0.0000
6 Cu 0.0009 0.0000 0.0000
7 Te 0.4100 0.3964 0.7857
8 Te 0.8064 0.7857 0.6036
9 Te 0.1958 0.2143 0.3964
10 Te 0.5921 0.6036 0.2143

Results
E_form (uncorrected)   -11.7 eV per formula unit
Volume   311 Å³ per cell
VASP energy   -5.22 eV per atom
DOS at the Fermi energy   5.880 states/eV per cell
Space group   I4/m

---

# 15
Compound: Tm5InPb2
Source: Alexandria via LeMat-Bulk
Functional: GGA-PBE
Structure: relaxed

a b c (Å): 5.2235 6.3045 15.5631
angles (deg): 90.00 90.00 114.47
Positions (direct):
1 Tm 0.9310 0.8621 0.9056
2 Tm 0.9310 0.8621 0.5944
3 Tm 0.3766 0.7533 0.4487
4 Tm 0.3766 0.7533 0.0513
5 Tm 0.5365 0.0729 0.2500
6 Tm 0.4635 0.9271 0.7500
7 Tm 0.6234 0.2467 0.5513
8 Tm 0.6234 0.2467 0.9487
9 Tm 0.0690 0.1379 0.0944
10 Tm 0.0690 0.1379 0.4056
11 In 0.7481 0.4963 0.7500
12 In 0.2519 0.5037 0.2500
13 Pb 0.7754 0.5507 0.3749
14 Pb 0.7754 0.5507 0.1251
15 Pb 0.2246 0.4493 0.6251
16 Pb 0.2246 0.4493 0.8749

Results
Energy of formation   -152 meV/atom
Volume   466 Å³ per cell
VASP energy   -4.22 eV per atom
DOS at the Fermi energy   15.556 states/eV per cell
Space group   Cmcm

---

# 16
Compound: Zn2PdRu
Source: Alexandria via LeMat-Bulk
Functional: GGA-PBE
Structure: relaxed

a b c (Å): 6.8066 6.8066 5.5302
angles (deg): 52.02 52.02 90.00
Site moments in Bohr magnetons follow the coordinates.
Positions (direct):
1 Ru 0.5000 0.5000 0.0000  1.10
2 Ru 0.2500 0.7500 0.5000  1.10
3 Zn 0.6269 0.1250 0.2500  -0.01
4 Zn 0.1231 0.6250 0.2500  -0.01
5 Zn 0.3750 0.3731 0.7500  -0.01
6 Zn 0.8750 0.8769 0.7500  -0.01
7 Pd 0.0000 0.0000 0.0000  0.12
8 Pd 0.7500 0.2500 0.5000  0.12

Results
Energy of formation   254 meV/atom
Volume   126 Å³ per cell
VASP energy   -4.00 eV per atom
DOS at the Fermi energy   7.290 states/eV per cell
Space group   I-42d

---

# 17
Compound: Pr2GdIn
Source: Alexandria via LeMat-Bulk
Functional: GGA-PBE
Structure: relaxed

a b c (Å): 4.2425 4.2425 7.0272
angles (deg): 90.00 90.00 90.00
Site moments in Bohr magnetons follow the coordinates.
Positions (direct):
1 Pr 0.0000 0.0000 0.7346  0.05
2 Pr 0.0000 0.0000 0.2654  0.05
3 Gd 0.5000 0.5000 0.0000  7.18
4 In 0.5000 0.5000 0.5000  -0.01

Results
Energy of formation   -194 meV/atom
Volume   126 Å³ per cell
VASP energy   -6.79 eV per atom
DOS at the Fermi energy   5.224 states/eV per cell
Space group   P4/mmm

---

# 18
Compound: Dy8PtRh2
Source: Alexandria via LeMat-Bulk
Functional: GGA-PBE
Structure: relaxed

a b c (Å): 6.0132 7.5361 7.5361
angles (deg): 113.19 100.34 100.34
Positions (direct):
1 Dy 0.5821 0.3450 0.0838
2 Dy 0.5821 0.0838 0.3450
3 Dy 0.1676 0.3629 0.3629
4 Dy 0.9866 0.2154 0.7869
5 Dy 0.9866 0.7869 0.2154
6 Dy 0.8039 0.6413 0.6413
7 Dy 0.3797 0.9240 0.6628
8 Dy 0.3797 0.6628 0.9240
9 Pt 0.1573 0.0015 0.0015
10 Rh 0.4870 0.6942 0.3161
11 Rh 0.4870 0.3161 0.6942

Results
Energy of formation   -507 meV/atom
Volume   297 Å³ per cell
VASP energy   -5.74 eV per atom
DOS at the Fermi energy   10.790 states/eV per cell
Space group   Cm

---

# 19
Compound: DyZrCo2
Source: Alexandria via LeMat-Bulk
Functional: GGA-PBE
Structure: relaxed

a b c (Å): 3.2390 3.2390 6.6030
angles (deg): 90.00 90.00 90.00
Site moments in Bohr magnetons follow the coordinates.
Positions (direct):
1 Co 0.0000 0.0000 0.7776  0.28
2 Co 0.0000 0.0000 0.2224  0.28
3 Zr 0.5000 0.5000 0.0000  -0.08
4 Dy 0.5000 0.5000 0.5000  -0.07

Results
Energy of formation   -236 meV/atom
Volume   69 Å³ per cell
VASP energy   -7.08 eV per atom
DOS at the Fermi energy   2.933 states/eV per cell
Space group   P4/mmm

---

# 20
Compound: Ca3YGa
Source: Alexandria via LeMat-Bulk
Functional: GGA-PBE
Structure: relaxed

a b c (Å): 5.7452 5.7452 5.7452
angles (deg): 90.00 90.00 90.00
Positions (direct):
1 Y 0.5000 0.5000 0.5000
2 Ca 0.0000 0.5000 0.0000
3 Ca 0.0000 0.0000 0.5000
4 Ca 0.5000 0.0000 0.0000
5 Ga 0.0000 0.0000 0.0000

Results
Energy of formation   120 meV/atom
Volume   190 Å³ per cell
VASP energy   -2.98 eV per atom
DOS at the Fermi energy   7.957 states/eV per cell
Space group   Pm-3m